Record 1
Below is an optimized crystal structure of PaMn2B2, with properties calculated at the PBE level.

magnetic moment = 2.7 μB per formula unit
crystal system = tetragonal
SG = I4/mmm (139)
D(E_F) = 4.0 states/eV/f.u.
energy of formation from the pure elements = -362 meV per atom

Lattice parameters (Å, degrees): 3.583 3.583 5.321 109.68 109.68 90.00
Positions (direct):
Mn: 0.750 0.250 0.500
Mn: 0.250 0.750 0.500
B: 0.384 0.384 0.769
B: 0.616 0.616 0.231
Pa: 0.000 0.000 0.000

=====

Record 2
Below is an optimized crystal structure of CeAsPdS, with properties calculated at the PBE level.

magnetic moment = 0.2 μB per formula unit
raw formation energy = -1.173 eV per atom
crystal system = tetragonal
SG = P4/nmm (129)
D(E_F) = 4.8 states/eV/f.u.

Lattice parameters (Å, degrees): 4.458 4.458 8.299 90.00 90.00 90.00
Positions (direct):
Ce: 0.000 0.500 0.305
Ce: 0.500 0.000 0.695
Pd: 0.500 0.500 0.000
Pd: 0.000 0.000 0.000
As: 0.000 0.500 0.848
As: 0.500 0.000 0.152
S: 0.500 0.500 0.500
S: 0.000 0.000 0.500

=====

Record 3
Below is an optimized crystal structure of LiCaAgI4, with properties calculated at the PBE level.

magnetic moment = 0.0 μB per formula unit
raw formation energy = -1.092 eV per atom
crystal system = orthorhombic
SG = Imma (74)
D(E_F) = 0.0 states/eV/f.u.

Lattice parameters (Å, degrees): 8.834 8.954 9.064 120.41 90.00 119.56
Positions (direct):
Ca: 0.500 0.000 0.000
Ca: 0.500 0.000 0.500
Li: 0.000 0.500 0.500
Li: 0.500 0.500 0.500
I: 0.742 0.989 0.745
I: 0.746 0.493 0.723
I: 0.258 0.011 0.255
I: 0.746 0.493 0.270
I: 0.247 0.989 0.745
I: 0.753 0.011 0.255
I: 0.254 0.507 0.277
I: 0.254 0.507 0.730
Ag: 0.146 0.292 0.896
Ag: 0.854 0.708 0.104

=====

Record 4
Below is an optimized crystal structure of Ca2Pm3TmSe6, with properties calculated at the PBE level.

magnetic moment = 0.0 μB per formula unit
raw formation energy = -1.854 eV per atom
crystal system = monoclinic
SG = C2/m (12)
D(E_F) = 5.1 states/eV/f.u.

Lattice parameters (Å, degrees): 7.150 7.150 7.317 99.38 99.38 120.06
Positions (direct):
Tm: 0.000 0.000 0.000
Se: 0.594 0.921 0.762
Se: 0.921 0.594 0.762
Se: 0.245 0.245 0.755
Se: 0.406 0.079 0.238
Se: 0.079 0.406 0.238
Se: 0.755 0.755 0.245
Pm: 0.172 0.828 0.500
Pm: 0.500 0.500 0.500
Pm: 0.828 0.172 0.500
Ca: 0.666 0.334 0.000
Ca: 0.334 0.666 0.000

=====

Record 5
Below is an optimized crystal structure of AcNdZnOs, with properties calculated at the PBE level.

magnetic moment = 0.0 μB per formula unit
crystal system = cubic
SG = F-43m (216)
D(E_F) = 4.5 states/eV/f.u.
energy of formation from the pure elements = -12 meV per atom

Lattice parameters (Å, degrees): 5.211 5.211 5.211 60.00 60.00 60.00
Positions (direct):
Nd: 0.500 0.500 0.500
Os: 0.750 0.750 0.750
Ac: 0.000 0.000 0.000
Zn: 0.250 0.250 0.250

=====

Record 6
Below is an optimized crystal structure of Rb2Na6CdAu, with properties calculated at the PBE level.

magnetic moment = 0.0 μB per formula unit
crystal system = cubic
SG = Fm-3m (225)
D(E_F) = 3.6 states/eV/f.u.
energy of formation from the pure elements = -46 meV per atom

Lattice parameters (Å, degrees): 8.457 8.457 8.457 60.00 60.00 90.00
Positions (direct):
Na: 0.257 0.743 0.000
Na: 0.257 0.257 0.000
Na: 0.257 0.257 0.486
Na: 0.743 0.743 0.000
Na: 0.743 0.743 0.514
Na: 0.743 0.257 0.000
Rb: 0.250 0.750 0.500
Rb: 0.750 0.250 0.500
Cd: 0.000 0.000 0.000
Au: 0.500 0.500 0.000

=====

Record 7
Below is an optimized crystal structure of SrReAs, with properties calculated at the PBE level.

magnetic moment = 0.0 μB per formula unit
polymorph energy (0 for the lowest one) = 17 meV/atom
crystal system = tetragonal
SG = I4mm (107)
D(E_F) = 2.6 states/eV/f.u.
energy of formation from the pure elements = 36 meV per atom

Lattice parameters (Å, degrees): 6.196 6.195 3.334 74.40 74.39 31.22
Positions (direct):
As: 0.959 0.959 0.041
Re: 0.372 0.372 0.628
Sr: 0.669 0.669 0.331

=====

Record 8
Below is an optimized crystal structure of La2PtO4, with properties calculated at the PBE level.

magnetic moment = 0.0 μB per formula unit
raw formation energy = -2.589 eV per atom
crystal system = orthorhombic
SG = Cmce (64)

Lattice parameters (Å, degrees): 5.739 5.741 7.210 113.46 90.00 90.00
Positions (direct):
O: 0.750 0.007 0.500
O: 0.688 0.188 0.000
O: 0.250 0.493 0.500
O: 0.250 0.993 0.500
O: 0.812 0.688 0.000
O: 0.312 0.812 0.000
O: 0.188 0.312 0.000
O: 0.750 0.507 0.500
La: 0.500 0.844 0.688
La: 0.000 0.344 0.688
La: 0.000 0.656 0.312
La: 0.500 0.156 0.312
Pt: 0.000 0.000 0.000
Pt: 0.500 0.500 0.000

=====

Record 9
Below is an optimized crystal structure of PmEr2Au, with properties calculated at the PBE level.

magnetic moment = 0.0 μB per formula unit
polymorph energy (0 for the lowest one) = 0 meV/atom
crystal system = orthorhombic
SG = Cmcm (63)
D(E_F) = 5.6 states/eV/f.u.
energy of formation from the pure elements = -419 meV per atom

Lattice parameters (Å, degrees): 4.923 6.477 7.759 90.00 90.00 112.35
Positions (direct):
Pm: 0.953 0.906 0.250
Pm: 0.047 0.094 0.750
Er: 0.646 0.292 0.036
Er: 0.646 0.292 0.464
Er: 0.354 0.708 0.964
Er: 0.354 0.708 0.536
Au: 0.205 0.409 0.250
Au: 0.795 0.591 0.750

=====

Record 10
Below is an optimized crystal structure of PmSc2Hg, with properties calculated at the PBE level.

magnetic moment = 2.9 μB per formula unit
polymorph energy (0 for the lowest one) = 157 meV/atom
crystal system = cubic
SG = Fm-3m (225)
D(E_F) = 4.3 states/eV/f.u.
energy of formation from the pure elements = -34 meV per atom

Lattice parameters (Å, degrees): 5.165 5.165 5.165 60.00 60.00 60.00
Positions (direct):
Sc: 0.250 0.250 0.250
Sc: 0.750 0.750 0.750
Hg: 0.500 0.500 0.500
Pm: 0.000 0.000 0.000

=====

Record 11
Below is an optimized crystal structure of LiMgZr2Rh4, with properties calculated at the PBE level.

magnetic moment = 0.0 μB per formula unit
crystal system = trigonal
SG = R-3m (166)
D(E_F) = 3.6 states/eV/f.u.
energy of formation from the pure elements = -715 meV per atom

Lattice parameters (Å, degrees): 4.488 4.488 7.789 73.25 73.25 60.00
Positions (direct):
Rh: 0.625 0.625 0.126
Rh: 0.125 0.125 0.624
Rh: 0.875 0.875 0.376
Rh: 0.375 0.375 0.874
Zr: 0.248 0.248 0.256
Zr: 0.752 0.752 0.744
Mg: 0.000 0.000 0.000
Li: 0.500 0.500 0.500

=====

Record 12
Below is an optimized crystal structure of LiPmErBi, with properties calculated at the PBE level.

magnetic moment = 0.0 μB per formula unit
crystal system = cubic
SG = F-43m (216)
D(E_F) = 4.4 states/eV/f.u.
energy of formation from the pure elements = -308 meV per atom

Lattice parameters (Å, degrees): 5.348 5.348 5.348 60.00 60.00 60.00
Positions (direct):
Li: 0.000 0.000 0.000
Er: 0.250 0.250 0.250
Pm: 0.750 0.750 0.750
Bi: 0.500 0.500 0.500